Density functional theory data (GGA-PBE) for crystalline Na3TiV at its relaxed geometry.

Cell lengths 5.597, 5.597, 5.597 Å; angles 90.00, 90.00, 90.00 degrees
Each line ends with the local moment (μB).
Positions (direct):
Na: 0.500 0.000 0.000  0.04
Ti: 0.500 0.500 0.500  2.03
V: 0.000 0.000 0.000  3.33
Na: 0.000 0.500 0.000  0.04
Na: 0.000 0.000 0.500  0.04

Theoretical density = 1589 kg/m³
Electronic total energy = -2.672 eV per atom
ΔE_f = 7.6 eV per formula unit
Space-group type = Pm-3m